(1)
First-principles (PBE) data for UZn4Pd after structural relaxation, as listed in Alexandria.

Geometry as CIF:
```
data_UZn4Pd
_space_group_name_H-M_alt 'P 1'
_space_group_IT_number 1
_space_group_name_Hall 'P 1'
_cell_length_a 5.266
_cell_length_b 5.266
_cell_length_c 5.266
_cell_angle_alpha 60.00
_cell_angle_beta 60.00
_cell_angle_gamma 60.00
loop_
_atom_site_label
_atom_site_fract_x
_atom_site_fract_y
_atom_site_fract_z
_atom_site_occupancy
Zn1 0.624 0.624 0.624 1
Zn2 0.624 0.128 0.624 1
Zn3 0.128 0.624 0.624 1
Pd1 0.250 0.250 0.250 1
Zn4 0.624 0.624 0.128 1
U1 0.000 0.000 0.000 1
```

Values from the calculation:
Space group ... No. 216
ΔH_f (0 K) ... -23 meV per atom

---

(2)
First-principles (PBE) data for UZnPd2 after structural relaxation, as listed in Alexandria.

Geometry as CIF:
```
data_UZnPd2
_space_group_name_H-M_alt 'P 1'
_space_group_IT_number 1
_space_group_name_Hall 'P 1'
_cell_length_a 3.132
_cell_length_b 3.132
_cell_length_c 7.046
_cell_angle_alpha 90.00
_cell_angle_beta 90.00
_cell_angle_gamma 90.00
loop_
_atom_site_label
_atom_site_fract_x
_atom_site_fract_y
_atom_site_fract_z
_atom_site_occupancy
U1 0.500 0.500 0.500 1
Zn1 0.500 0.500 0.000 1
Pd1 0.000 0.000 0.214 1
Pd2 0.000 0.000 0.786 1
```

Values from the calculation:
Space group ... No. 123
ΔH_f (0 K) ... -349 meV per atom

---

(3)
First-principles (PBE) data for UZn5Pd4 after structural relaxation, as listed in Alexandria.

Geometry as CIF:
```
data_UZn5Pd4
_space_group_name_H-M_alt 'P 1'
_space_group_IT_number 1
_space_group_name_Hall 'P 1'
_cell_length_a 2.907
_cell_length_b 2.907
_cell_length_c 18.294
_cell_angle_alpha 90.00
_cell_angle_beta 90.00
_cell_angle_gamma 90.00
loop_
_atom_site_label
_atom_site_fract_x
_atom_site_fract_y
_atom_site_fract_z
_atom_site_occupancy
Pd1 0.000 0.000 0.593 1
Zn1 0.500 0.500 0.687 1
Zn2 0.500 0.500 0.128 1
Pd2 0.000 0.000 0.220 1
Pd3 0.000 0.000 0.780 1
Zn3 0.500 0.500 0.872 1
Zn4 0.500 0.500 0.500 1
Zn5 0.500 0.500 0.313 1
Pd4 0.000 0.000 0.407 1
U1 0.000 0.000 0.000 1
```

Values from the calculation:
Space group ... No. 123
ΔH_f (0 K) ... -413 meV per atom

---

(4)
First-principles (PBE) data for UZn4Pd15 after structural relaxation, as listed in Alexandria.

Geometry as CIF:
```
data_UZn4Pd15
_space_group_name_H-M_alt 'P 1'
_space_group_IT_number 1
_space_group_name_Hall 'P 1'
_cell_length_a 4.022
_cell_length_b 4.022
_cell_length_c 19.190
_cell_angle_alpha 90.00
_cell_angle_beta 90.00
_cell_angle_gamma 90.00
loop_
_atom_site_label
_atom_site_fract_x
_atom_site_fract_y
_atom_site_fract_z
_atom_site_occupancy
Pd1 0.500 0.500 0.404 1
Pd2 0.000 0.500 0.306 1
Pd3 0.500 0.000 0.895 1
Pd4 0.500 0.500 0.794 1
Pd5 0.000 0.500 0.105 1
Zn1 0.000 0.000 0.402 1
Pd6 0.500 0.000 0.105 1
Pd7 0.500 0.500 0.000 1
Pd8 0.000 0.500 0.895 1
Zn2 0.000 0.000 0.789 1
Pd9 0.000 0.500 0.694 1
Pd10 0.000 0.500 0.500 1
Zn3 0.000 0.000 0.598 1
Pd11 0.500 0.000 0.694 1
Pd12 0.500 0.500 0.596 1
Zn4 0.000 0.000 0.211 1
Pd13 0.500 0.000 0.306 1
Pd14 0.500 0.000 0.500 1
Pd15 0.500 0.500 0.206 1
U1 0.000 0.000 0.000 1
```

Values from the calculation:
Space group ... No. 123
ΔH_f (0 K) ... -366 meV per atom

---

(5)
First-principles (PBE) data for UZn17Pd after structural relaxation, as listed in Alexandria.

Geometry as CIF:
```
data_UZn17Pd
_space_group_name_H-M_alt 'P 1'
_space_group_IT_number 1
_space_group_name_Hall 'P 1'
_cell_length_a 6.805
_cell_length_b 6.805
_cell_length_c 6.805
_cell_angle_alpha 82.41
_cell_angle_beta 82.41
_cell_angle_gamma 82.41
loop_
_atom_site_label
_atom_site_fract_x
_atom_site_fract_y
_atom_site_fract_z
_atom_site_occupancy
Pd1 0.436 0.436 0.436 1
Zn1 0.099 0.099 0.099 1
Zn2 0.676 0.301 0.007 1
Zn3 0.841 0.343 0.343 1
Zn4 0.153 0.650 0.650 1
Zn5 0.301 0.676 0.007 1
Zn6 0.007 0.301 0.676 1
Zn7 0.650 0.650 0.153 1
Zn8 0.496 0.985 0.985 1
Zn9 0.650 0.153 0.650 1
Zn10 0.985 0.985 0.496 1
Zn11 0.007 0.676 0.301 1
Zn12 0.301 0.007 0.676 1
Zn13 0.676 0.007 0.301 1
U1 0.656 0.656 0.656 1
Zn14 0.343 0.343 0.841 1
Zn15 0.985 0.496 0.985 1
Zn16 0.896 0.896 0.896 1
Zn17 0.343 0.841 0.343 1
```

Values from the calculation:
Space group ... No. 160
ΔH_f (0 K) ... -41 meV per atom

---

(6)
First-principles (PBE) data for UZnPd14 after structural relaxation, as listed in Alexandria.

Geometry as CIF:
```
data_UZnPd14
_space_group_name_H-M_alt 'P 1'
_space_group_IT_number 1
_space_group_name_Hall 'P 1'
_cell_length_a 5.745
_cell_length_b 5.745
_cell_length_c 7.652
_cell_angle_alpha 90.00
_cell_angle_beta 90.00
_cell_angle_gamma 90.00
loop_
_atom_site_label
_atom_site_fract_x
_atom_site_fract_y
_atom_site_fract_z
_atom_site_occupancy
Pd1 0.375 0.875 0.000 1
Pd2 0.625 0.125 0.746 1
Pd3 0.625 0.125 0.254 1
Zn1 0.875 0.875 0.500 1
Pd4 0.625 0.625 0.746 1
Pd5 0.875 0.875 0.000 1
Pd6 0.125 0.625 0.254 1
U1 0.375 0.375 0.500 1
Pd7 0.375 0.875 0.500 1
Pd8 0.875 0.375 0.500 1
Pd9 0.125 0.125 0.254 1
Pd10 0.625 0.625 0.254 1
Pd11 0.125 0.625 0.746 1
Pd12 0.875 0.375 0.000 1
Pd13 0.375 0.375 0.000 1
Pd14 0.125 0.125 0.746 1
```

Values from the calculation:
Space group ... No. 123
ΔH_f (0 K) ... -272 meV per atom

---

(7)
First-principles (PBE) data for UZnPd4 after structural relaxation, as listed in Alexandria.

Geometry as CIF:
```
data_UZnPd4
_space_group_name_H-M_alt 'P 1'
_space_group_IT_number 1
_space_group_name_Hall 'P 1'
_cell_length_a 5.197
_cell_length_b 6.062
_cell_length_c 8.056
_cell_angle_alpha 103.22
_cell_angle_beta 98.65
_cell_angle_gamma 117.23
loop_
_atom_site_label
_atom_site_fract_x
_atom_site_fract_y
_atom_site_fract_z
_atom_site_occupancy
Zn1 0.619 0.369 0.738 1
Pd1 0.513 0.305 0.067 1
Pd2 0.054 0.762 0.067 1
Pd3 0.946 0.238 0.933 1
Pd4 0.487 0.695 0.933 1
U1 0.868 0.118 0.237 1
Pd5 0.223 0.970 0.438 1
Pd6 0.715 0.468 0.438 1
Pd7 0.777 0.030 0.562 1
Pd8 0.285 0.532 0.562 1
Zn2 0.381 0.631 0.262 1
U2 0.132 0.882 0.763 1
```

Values from the calculation:
Space group ... No. 15
ΔE to the lowest computed polymorph ... 36.8 meV/atom
ΔH_f (0 K) ... -296 meV per atom

---

(8)
First-principles (PBE) data for ZrUPd6 after structural relaxation, as listed in Alexandria.

Geometry as CIF:
```
data_ZrUPd6
_space_group_name_H-M_alt 'P 1'
_space_group_IT_number 1
_space_group_name_Hall 'P 1'
_cell_length_a 4.097
_cell_length_b 4.097
_cell_length_c 8.192
_cell_angle_alpha 90.00
_cell_angle_beta 90.00
_cell_angle_gamma 90.00
loop_
_atom_site_label
_atom_site_fract_x
_atom_site_fract_y
_atom_site_fract_z
_atom_site_occupancy
Pd1 0.000 0.500 0.758 1
U1 0.000 0.000 0.500 1
Pd2 0.500 0.000 0.242 1
Zr1 0.000 0.000 0.000 1
Pd3 0.500 0.500 0.000 1
Pd4 0.500 0.000 0.758 1
Pd5 0.500 0.500 0.500 1
Pd6 0.000 0.500 0.242 1
```

Values from the calculation:
Space group ... No. 123
ΔH_f (0 K) ... -639 meV per atom

---

(9)
First-principles (PBE) data for Zr3UPd12 after structural relaxation, as listed in Alexandria.

Geometry as CIF:
```
data_Zr3UPd12
_space_group_name_H-M_alt 'P 1'
_space_group_IT_number 1
_space_group_name_Hall 'P 1'
_cell_length_a 4.064
_cell_length_b 4.064
_cell_length_c 16.281
_cell_angle_alpha 90.00
_cell_angle_beta 90.00
_cell_angle_gamma 90.00
loop_
_atom_site_label
_atom_site_fract_x
_atom_site_fract_y
_atom_site_fract_z
_atom_site_occupancy
Pd1 0.500 0.000 0.132 1
Pd2 0.500 0.000 0.377 1
Pd3 0.500 0.500 0.500 1
Pd4 0.500 0.000 0.868 1
Pd5 0.000 0.500 0.623 1
Pd6 0.500 0.000 0.623 1
U1 0.000 0.000 0.000 1
Zr1 0.000 0.000 0.747 1
Pd7 0.500 0.500 0.000 1
Pd8 0.000 0.500 0.868 1
Pd9 0.500 0.500 0.255 1
Pd10 0.000 0.500 0.132 1
Zr2 0.000 0.000 0.500 1
Zr3 0.000 0.000 0.253 1
Pd11 0.000 0.500 0.377 1
Pd12 0.500 0.500 0.745 1
```

Values from the calculation:
Space group ... No. 123
ΔH_f (0 K) ... -714 meV per atom

---

(10)
First-principles (PBE) data for ZrUPd14 after structural relaxation, as listed in Alexandria.

Geometry as CIF:
```
data_ZrUPd14
_space_group_name_H-M_alt 'P 1'
_space_group_IT_number 1
_space_group_name_Hall 'P 1'
_cell_length_a 5.751
_cell_length_b 5.751
_cell_length_c 7.823
_cell_angle_alpha 90.00
_cell_angle_beta 90.00
_cell_angle_gamma 90.00
loop_
_atom_site_label
_atom_site_fract_x
_atom_site_fract_y
_atom_site_fract_z
_atom_site_occupancy
Pd1 0.875 0.875 0.000 1
Pd2 0.624 0.126 0.748 1
Pd3 0.875 0.375 0.000 1
Pd4 0.126 0.624 0.748 1
Pd5 0.126 0.126 0.748 1
Zr1 0.875 0.875 0.500 1
Pd6 0.624 0.126 0.252 1
Pd7 0.126 0.126 0.252 1
Pd8 0.624 0.624 0.252 1
Pd9 0.126 0.624 0.252 1
U1 0.375 0.375 0.500 1
Pd10 0.875 0.375 0.500 1
Pd11 0.375 0.875 0.500 1
Pd12 0.624 0.624 0.748 1
Pd13 0.375 0.375 0.000 1
Pd14 0.375 0.875 0.000 1
```

Values from the calculation:
Space group ... No. 123
ΔH_f (0 K) ... -392 meV per atom

---

(11)
First-principles (PBE) data for ZrU2Pd9 after structural relaxation, as listed in Alexandria.

Geometry as CIF:
```
data_ZrU2Pd9
_space_group_name_H-M_alt 'P 1'
_space_group_IT_number 1
_space_group_name_Hall 'P 1'
_cell_length_a 4.116
_cell_length_b 4.116
_cell_length_c 12.346
_cell_angle_alpha 90.00
_cell_angle_beta 90.00
_cell_angle_gamma 90.00
loop_
_atom_site_label
_atom_site_fract_x
_atom_site_fract_y
_atom_site_fract_z
_atom_site_occupancy
Pd1 0.500 0.500 0.000 1
Pd2 0.000 0.500 0.160 1
Zr1 0.000 0.000 0.000 1
U1 0.000 0.000 0.330 1
Pd3 0.500 0.000 0.160 1
Pd4 0.500 0.000 0.500 1
Pd5 0.000 0.500 0.840 1
Pd6 0.500 0.500 0.329 1
U2 0.000 0.000 0.670 1
Pd7 0.500 0.000 0.840 1
Pd8 0.500 0.500 0.671 1
Pd9 0.000 0.500 0.500 1
```

Values from the calculation:
Space group ... No. 123
ΔH_f (0 K) ... -593 meV per atom

---

(12)
First-principles (PBE) data for VPd12 after structural relaxation, as listed in Alexandria.

Geometry as CIF:
```
data_VPd12
_space_group_name_H-M_alt 'P 1'
_space_group_IT_number 1
_space_group_name_Hall 'P 1'
_cell_length_a 6.415
_cell_length_b 6.415
_cell_length_c 6.415
_cell_angle_alpha 109.47
_cell_angle_beta 109.47
_cell_angle_gamma 109.47
loop_
_atom_site_label
_atom_site_fract_x
_atom_site_fract_y
_atom_site_fract_z
_atom_site_occupancy
Pd1 0.818 0.307 0.125 1
Pd2 0.818 0.693 0.510 1
Pd3 0.490 0.182 0.307 1
Pd4 0.182 0.693 0.875 1
Pd5 0.125 0.818 0.307 1
Pd6 0.307 0.490 0.182 1
Pd7 0.875 0.182 0.693 1
Pd8 0.693 0.875 0.182 1
Pd9 0.307 0.125 0.818 1
V1 0.000 0.000 0.000 1
Pd10 0.693 0.510 0.818 1
Pd11 0.182 0.307 0.490 1
Pd12 0.510 0.818 0.693 1
```

Values from the calculation:
Space group ... No. 204
ΔH_f (0 K) ... -40 meV per atom